1.
Computed, not measured: PmSm2Hg4 after structural relaxation at the PBE-GGA level of DFT.

POSCAR file:
```
PmSm2Hg4
1.0
4.947 0.000 1.546
2.232 4.415 1.546
-0.217 -0.133 9.384
Hg Sm Pm
4 2 1
Direct
0.874 0.874 0.379 Hg
0.126 0.126 0.621 Hg
0.377 0.377 0.869 Hg
0.623 0.623 0.131 Hg
0.757 0.757 0.729 Sm
0.243 0.243 0.271 Sm
0.000 0.000 0.000 Pm
```

Calculated values
* total magnetization: 0.0 μB per cell
* DFT total energy: -2.5353 eV/atom
* formation energy: -2.4 eV per formula unit

***

2.
Computed, not measured: NaTbHg4 after structural relaxation at the PBE-GGA level of DFT.

POSCAR file:
```
NaTbHg4
1.0
-0.211 -2.956 3.578
7.975 2.452 2.497
-2.858 6.786 2.465
Tb Hg Na
2 8 2
Direct
0.158 0.750 0.316 Tb
0.842 0.250 0.684 Tb
0.323 0.996 0.648 Hg
0.507 0.750 0.011 Hg
0.000 0.000 0.000 Hg
0.677 0.496 0.352 Hg
0.323 0.504 0.648 Hg
0.677 0.004 0.352 Hg
0.493 0.250 0.989 Hg
0.000 0.500 0.000 Hg
0.151 0.250 0.301 Na
0.849 0.750 0.699 Na
```

Calculated values
* total magnetization: 0.0 μB per cell
* excess energy over the best structure of this formula in the dataset: 43 meV/atom
* DFT total energy: -1.4502 eV/atom
* formation energy: -1.5 eV per formula unit

***

3.
Computed, not measured: MgFeSCl2 after structural relaxation at the PBE-GGA level of DFT.

POSCAR file:
```
MgFeSCl2
1.0
4.652 0.000 0.000
0.000 4.652 0.000
0.000 0.000 4.426
Mg S Fe Cl
1 1 1 2
Direct
0.500 0.500 0.500 Mg
0.000 0.000 0.500 S
0.000 0.000 0.000 Fe
0.000 0.500 0.000 Cl
0.500 0.000 0.000 Cl
```

Calculated values
* total magnetization: 0.0 μB per cell
* excess energy over the best structure of this formula in the dataset: 0 meV/atom
* DFT total energy: -3.8673 eV/atom
* uncorrected formation energy: -0.29 eV per atom

***

4.
Computed, not measured: Pm5Ho after structural relaxation at the PBE-GGA level of DFT.

POSCAR file:
```
Pm5Ho
1.0
5.129 0.000 0.000
0.000 5.129 0.000
0.000 -2.565 7.706
Pm Ho
5 1
Direct
0.500 0.500 0.000 Pm
0.000 0.666 0.331 Pm
0.500 0.834 0.668 Pm
0.000 0.334 0.669 Pm
0.500 0.166 0.332 Pm
0.000 0.000 0.000 Ho
```

Calculated values
* total magnetization: 0.0 μB per cell
* DFT total energy: -4.7068 eV/atom
* formation energy: 0.1 eV per formula unit